# 1
Entry from Alexandria via LeMat-Bulk: Dy12Sb6Ru after structural relaxation (PBE).

Energy relative to the elements, uncorrected: -642 meV per atom
Size of the total moment: 0.000 μB per cell

abc: 8.5317 8.5317 8.5317
angles: 99.60 99.60 99.60
Closest atoms and distances in Å follow each position.
Sites, in units of the cell vectors:
Dy1 0.8036 0.5838 0.4520  4 Sb 3.06-3.26
Dy2 0.4520 0.8036 0.5838  4 Sb 3.06-3.26
Dy3 0.5838 0.4520 0.8036  4 Sb 3.06-3.26
Dy4 0.1964 0.4162 0.5480  4 Sb 3.06-3.26
Dy5 0.5480 0.1964 0.4162  4 Sb 3.06-3.26
Dy6 0.4162 0.5480 0.1964  4 Sb 3.06-3.26
Dy7 0.0595 0.9911 0.3131  1 Ru 2.65
Dy8 0.0089 0.6869 0.9405  1 Ru 2.65
Dy9 0.6869 0.9405 0.0089  1 Ru 2.65
Dy10 0.9405 0.0089 0.6869  1 Ru 2.65
Dy11 0.9911 0.3131 0.0595  1 Ru 2.65
Dy12 0.3131 0.0595 0.9911  1 Ru 2.65
Sb1 0.6851 0.8793 0.3540  7 Dy 3.06-3.27
Sb2 0.6460 0.3149 0.1207  7 Dy 3.06-3.27
Sb3 0.1207 0.6460 0.3149  7 Dy 3.06-3.27
Sb4 0.3149 0.1207 0.6460  7 Dy 3.06-3.27
Sb5 0.3540 0.6851 0.8793  7 Dy 3.06-3.27
Sb6 0.8793 0.3540 0.6851  7 Dy 3.06-3.27
Ru1 0.0000 0.0000 0.0000  6 Dy 2.65

***

# 2
Entry from Alexandria via LeMat-Bulk: Dy3SbRu after structural relaxation (PBE).

Energy relative to the elements, uncorrected: -577 meV per atom
Size of the total moment: 0.000 μB per cell

abc: 4.3743 6.7585 9.1559
angles: 90.00 90.00 90.00
Closest atoms and distances in Å follow each position.
Sites, in units of the cell vectors:
Dy1 0.7500 0.7500 0.0897  1 Ru 2.79, 2 Sb 3.05
Dy2 0.2500 0.2500 0.9103  1 Ru 2.79, 2 Sb 3.05
Dy3 0.7500 0.9951 0.6503  3 Ru 2.81-2.87
Dy4 0.7500 0.5049 0.6503  3 Ru 2.81-2.87
Dy5 0.2500 0.0049 0.3497  3 Ru 2.81-2.87
Dy6 0.2500 0.4951 0.3497  3 Ru 2.81-2.87
Sb1 0.7500 0.2500 0.1426  8 Dy 3.05-3.41
Sb2 0.2500 0.7500 0.8574  8 Dy 3.05-3.41
Ru1 0.7500 0.7500 0.3949  7 Dy 2.79-2.87
Ru2 0.2500 0.2500 0.6051  7 Dy 2.79-2.87

***

# 3
Entry from Alexandria via LeMat-Bulk: Dy2ScRu2 after structural relaxation (PBE).

Energy of formation: -397 meV per atom
Size of the total moment: 0.000 μB per cell

abc: 4.1620 5.6544 5.6549
angles: 63.86 68.34 68.34
Closest atoms and distances in Å follow each position.
Sites, in units of the cell vectors:
Dy1 0.2999 0.2004 0.7004  6 Ru 3.02-3.07, 2 Sc 3.32
Dy2 0.7001 0.7996 0.2996  6 Ru 3.02-3.07, 2 Sc 3.32
Sc1 0.5000 0.5000 0.0000  4 Ru 2.65
Ru1 0.0000 0.2257 0.2742  2 Sc 2.65, 1 Ru 2.70
Ru2 0.0000 0.7743 0.7258  2 Sc 2.65, 1 Ru 2.70